A geometry-optimized Y2SnAu2 structure. Source: Alexandria via LeMat-Bulk, functional PBEsol.

The structure in extended XYZ format:
```
20
Lattice="7.788 0.000 0.000 0.000 7.788 0.000 0.000 0.000 7.410" Properties=species:S:1:pos:R:3 pbc="T T T"
Y 1.219 1.219 0.000
Y 1.451 1.451 3.705
Y 2.443 5.345 0.000
Y 2.675 5.113 3.705
Y 5.113 2.675 3.705
Y 5.345 2.443 0.000
Y 6.337 6.337 3.705
Y 6.569 6.569 0.000
Sn 0.000 3.894 1.853
Sn 0.000 3.894 5.558
Sn 3.894 0.000 1.853
Sn 3.894 0.000 5.558
Au 0.990 6.798 2.089
Au 0.990 6.798 5.321
Au 2.904 2.904 1.616
Au 2.904 2.904 5.795
Au 4.884 4.884 1.616
Au 4.884 4.884 5.795
Au 6.798 0.990 2.089
Au 6.798 0.990 5.321
```

Output
energy = -6.051 eV/atom
DFT formation energy = -0.9004 eV per atom


A geometry-optimized Y2SnAu2 structure. Source: Alexandria via LeMat-Bulk, functional PBEsol.

The structure in extended XYZ format:
```
10
Lattice="7.767 0.000 0.000 0.000 7.767 0.000 0.000 0.000 3.750" Properties=species:S:1:pos:R:3 pbc="T T T"
Y 1.324 2.560 0.000
Y 2.560 6.443 0.000
Y 5.208 1.324 0.000
Y 6.443 5.208 0.000
Sn 0.000 0.000 1.875
Sn 3.884 3.884 1.875
Au 0.990 4.874 1.875
Au 2.893 0.990 1.875
Au 4.874 6.777 1.875
Au 6.777 2.893 1.875
```

Output
energy = -6.047 eV/atom
DFT formation energy = -0.8968 eV per atom


A geometry-optimized Y2SnAu2 structure. Source: Alexandria via LeMat-Bulk, functional PBEsol.

The structure in extended XYZ format:
```
5
Lattice="-1.886 1.886 8.508 1.886 -1.886 8.508 1.886 1.886 -8.508" Properties=species:S:1:pos:R:3 pbc="T T T"
Y 0.000 0.000 1.908
Y 0.000 0.000 15.109
Sn 0.000 0.000 8.508
Au 1.886 0.000 4.254
Au 0.000 1.886 4.254
```

Output
energy = -5.720 eV/atom
DFT formation energy = -0.5697 eV per atom


A geometry-optimized Zn2SnAu2 structure. Source: Alexandria via LeMat-Bulk, functional PBEsol.

The structure in extended XYZ format:
```
5
Lattice="-1.874 1.874 6.473 1.874 -1.874 6.473 1.874 1.874 -6.473" Properties=species:S:1:pos:R:3 pbc="T T T"
Zn 1.874 0.000 3.236
Zn 0.000 1.874 3.236
Sn 0.000 0.000 0.000
Au 0.000 0.000 5.071
Au 0.000 0.000 7.875
```

Output
energy above the lowest structure with this stoichiometry = 0 meV per atom
energy = -3.212 eV/atom
DFT formation energy = -0.1573 eV per atom


A geometry-optimized Zn2SnAu2 structure. Source: Alexandria via LeMat-Bulk, functional PBEsol.

The structure in extended XYZ format:
```
10
Lattice="7.760 0.000 0.000 0.000 7.760 0.000 0.000 0.000 2.912" Properties=species:S:1:pos:R:3 pbc="T T T"
Zn 1.204 2.676 0.000
Zn 2.676 6.555 0.000
Zn 5.084 1.204 0.000
Zn 6.555 5.084 0.000
Sn 0.000 0.000 1.456
Sn 3.880 3.880 1.456
Au 1.093 4.973 1.456
Au 2.786 1.093 1.456
Au 4.973 6.666 1.456
Au 6.666 2.786 1.456
```

Output
energy above the lowest structure with this stoichiometry = 12 meV per atom
energy = -3.199 eV/atom
DFT formation energy = -0.1449 eV per atom


A geometry-optimized ZrSn3Au structure. Source: Alexandria via LeMat-Bulk, functional PBEsol.

The structure in extended XYZ format:
```
5
Lattice="5.440 0.000 0.000 0.000 5.440 0.000 0.000 0.000 5.440" Properties=species:S:1:pos:R:3 pbc="T T T"
Zr 0.000 0.000 0.000
Sn 0.000 0.000 2.720
Sn 0.000 2.720 0.000
Sn 2.720 0.000 0.000
Au 2.720 2.720 2.720
```

Output
energy = -4.477 eV/atom
DFT formation energy = 0.6814 eV per atom


A geometry-optimized ZrSnAu3 structure. Source: Alexandria via LeMat-Bulk, functional PBEsol.

The structure in extended XYZ format:
```
5
Lattice="4.966 0.000 0.000 0.000 4.966 0.000 0.000 0.000 4.966" Properties=species:S:1:pos:R:3 pbc="T T T"
Zr 0.000 0.000 0.000
Sn 2.483 2.483 2.483
Au 0.000 2.483 2.483
Au 2.483 0.000 2.483
Au 2.483 2.483 0.000
```

Output
energy = -4.348 eV/atom
DFT formation energy = 0.6758 eV per atom


A geometry-optimized Sr4Au structure. Source: Alexandria via LeMat-Bulk, functional PBEsol.

The structure in extended XYZ format:
```
5
Lattice="-5.058 5.058 1.973 5.058 -5.058 1.973 5.058 5.058 -1.973" Properties=species:S:1:pos:R:3 pbc="T T T"
Sr 2.541 0.641 0.000
Sr 4.417 -2.517 1.973
Sr 0.641 7.576 0.000
Sr 2.517 4.417 1.973
Au 0.000 0.000 1.973
```

Output
energy = -2.529 eV/atom
DFT formation energy = -0.2715 eV per atom


A geometry-optimized SrAu2 structure. Source: Alexandria via LeMat-Bulk, functional PBEsol.

The structure in extended XYZ format:
```
6
Lattice="-2.354 3.691 4.092 2.354 -3.691 4.092 2.354 3.691 -4.092" Properties=species:S:1:pos:R:3 pbc="T T T"
Sr 0.000 1.846 0.343
Sr 2.354 1.846 3.749
Au 2.354 -0.353 1.330
Au 2.354 3.339 -1.330
Au 0.000 0.353 5.421
Au 0.000 4.044 2.762
```

Output
energy = -3.917 eV/atom
DFT formation energy = -0.6878 eV per atom


A geometry-optimized SrAu3 structure. Source: Alexandria via LeMat-Bulk, functional PBEsol.

The structure in extended XYZ format:
```
4
Lattice="4.244 0.000 0.000 -2.122 3.675 0.000 0.000 0.000 6.536" Properties=species:S:1:pos:R:3 pbc="T T T"
Sr 0.000 0.000 0.000
Au 0.000 0.000 3.268
Au 2.122 1.225 1.892
Au 2.122 1.225 4.644
```

Output
energy = -3.595 eV/atom
DFT formation energy = -0.1918 eV per atom


A geometry-optimized SrAu2 structure. Source: Alexandria via LeMat-Bulk, functional PBEsol.

The structure in extended XYZ format:
```
6
Lattice="2.220 -5.274 0.000 2.220 5.274 0.000 0.000 0.000 6.002" Properties=species:S:1:pos:R:3 pbc="T T T"
Sr 2.220 3.194 4.502
Sr 2.220 -3.194 1.501
Au 2.220 4.273 1.501
Au 2.220 0.000 0.000
Au 2.220 0.000 3.001
Au 2.220 -4.273 4.502
```

Output
energy = -3.849 eV/atom
DFT formation energy = -0.6199 eV per atom


A geometry-optimized SrAu3 structure. Source: Alexandria via LeMat-Bulk, functional PBEsol.

The structure in extended XYZ format:
```
4
Lattice="3.870 0.000 0.000 0.000 3.870 0.000 0.000 0.000 6.236" Properties=species:S:1:pos:R:3 pbc="T T T"
Sr 0.000 0.000 0.000
Au 0.000 1.935 3.639
Au 1.935 0.000 3.639
Au 1.935 1.935 1.533
```

Output
energy = -3.784 eV/atom
DFT formation energy = -0.3805 eV per atom


A geometry-optimized SrAu3 structure. Source: Alexandria via LeMat-Bulk, functional PBEsol.

The structure in extended XYZ format:
```
4
Lattice="3.786 0.000 0.000 0.000 4.706 0.000 0.000 0.000 5.369" Properties=species:S:1:pos:R:3 pbc="T T T"
Sr 0.000 0.000 0.000
Au 1.893 0.000 2.685
Au 1.893 2.353 1.327
Au 1.893 2.353 4.043
```

Output
energy = -3.868 eV/atom
DFT formation energy = -0.4645 eV per atom


A geometry-optimized Sr7Au3 structure. Source: Alexandria via LeMat-Bulk, functional PBEsol.

The structure in extended XYZ format:
```
20
Lattice="10.925 0.000 0.000 -5.462 9.461 0.000 0.000 0.000 7.044" Properties=species:S:1:pos:R:3 pbc="T T T"
Sr -2.048 5.125 0.000
Sr 0.000 2.362 2.229
Sr -3.417 8.280 2.229
Sr 2.045 1.181 5.751
Sr 0.000 6.307 3.683
Sr 2.048 5.125 0.000
Sr 0.000 8.672 0.000
Sr 5.462 0.789 3.522
Sr 3.415 4.336 3.522
Sr 5.462 3.154 0.161
Sr 3.417 8.280 2.229
Sr 8.879 1.181 5.751
Sr 5.462 7.099 5.751
Sr 7.510 4.336 3.522
Au 0.000 3.567 5.169
Au -2.373 7.677 5.169
Au 3.089 1.784 1.646
Au 2.373 7.677 5.169
Au 7.835 1.784 1.646
Au 5.462 5.894 1.646
```

Output
energy = -2.957 eV/atom
DFT formation energy = -0.4917 eV per atom


A geometry-optimized SrAu3 structure. Source: Alexandria via LeMat-Bulk, functional PBEsol.

The structure in extended XYZ format:
```
24
Lattice="6.981 0.000 0.000 0.000 13.385 0.000 0.000 0.000 5.670" Properties=species:S:1:pos:R:3 pbc="T T T"
Sr 1.745 1.382 1.093
Sr 1.745 5.310 1.093
Sr 1.745 10.039 2.966
Sr 5.236 3.346 2.704
Sr 5.236 8.075 4.577
Sr 5.236 12.003 4.577
Au 0.253 0.935 3.881
Au 0.253 5.758 3.881
Au 0.340 10.039 0.271
Au 1.745 3.346 3.597
Au 1.745 7.817 5.078
Au 1.745 12.261 5.078
Au 3.151 10.039 0.271
Au 3.238 0.935 3.881
Au 3.238 5.758 3.881
Au 3.743 7.628 1.789
Au 3.743 12.450 1.789
Au 3.830 3.346 5.399
Au 5.236 1.124 0.593
Au 5.236 5.568 0.593
Au 5.236 10.039 2.073
Au 6.641 3.346 5.399
Au 6.728 7.628 1.789
Au 6.728 12.450 1.789
```

Output
energy = -3.865 eV/atom
DFT formation energy = -0.4623 eV per atom


A geometry-optimized Sr5Au4 structure. Source: Alexandria via LeMat-Bulk, functional PBEsol.

The structure in extended XYZ format:
```
18
Lattice="9.303 0.000 0.000 -4.651 8.056 0.000 0.000 0.000 7.164" Properties=species:S:1:pos:R:3 pbc="T T T"
Sr -1.229 2.129 1.791
Sr -3.422 5.927 5.373
Sr 2.459 0.000 1.791
Sr 1.229 2.129 5.373
Sr 0.000 5.371 0.000
Sr 0.000 5.371 3.582
Sr 4.651 2.685 0.000
Sr 4.651 2.685 3.582
Sr 6.844 0.000 5.373
Sr 3.422 5.927 1.791
Au 0.000 0.000 0.000
Au 0.000 0.000 3.582
Au -1.840 3.187 5.373
Au -2.812 4.870 1.791
Au 3.679 0.000 5.373
Au 1.840 3.187 1.791
Au 5.623 0.000 1.791
Au 2.812 4.870 5.373
```

Output
energy = -3.348 eV/atom
DFT formation energy = -0.5819 eV per atom


A geometry-optimized SrAu2 structure. Source: Alexandria via LeMat-Bulk, functional PBEsol.

The structure in extended XYZ format:
```
6
Lattice="-2.103 2.103 8.658 2.103 -2.103 8.658 2.103 2.103 -8.658" Properties=species:S:1:pos:R:3 pbc="T T T"
Sr 2.103 1.052 2.165
Sr 0.000 1.052 6.494
Au 2.103 -1.052 5.157
Au 2.103 -1.052 7.831
Au 0.000 3.155 0.828
Au 0.000 3.155 3.502
```

Output
energy = -3.871 eV/atom
DFT formation energy = -0.6411 eV per atom


A geometry-optimized Sr4TcAu structure. Source: Alexandria via LeMat-Bulk, functional PBEsol.

The structure in extended XYZ format:
```
6
Lattice="0.000 4.544 4.544 4.544 0.000 4.544 4.544 4.544 0.000" Properties=species:S:1:pos:R:3 pbc="T T T"
Sr 1.140 1.140 1.140
Sr 3.404 3.404 1.140
Sr 3.404 1.140 3.404
Sr 1.140 3.404 3.404
Tc 4.544 4.544 4.544
Au 6.816 6.816 6.816
```

Output
energy = -2.584 eV/atom
DFT formation energy = 1.1747 eV per atom


A geometry-optimized SrTc2Au structure. Source: Alexandria via LeMat-Bulk, functional PBEsol.

The structure in extended XYZ format:
```
4
Lattice="3.928 0.000 0.000 0.000 3.928 0.000 0.000 0.000 4.747" Properties=species:S:1:pos:R:3 pbc="T T T"
Sr 0.000 0.000 0.000
Tc 0.000 1.964 2.373
Tc 1.964 0.000 2.373
Au 1.964 1.964 0.000
```

Output
energy = -6.254 eV/atom
DFT formation energy = 0.8199 eV per atom


A geometry-optimized SrTeAu4 structure. Source: Alexandria via LeMat-Bulk, functional PBEsol.

The structure in extended XYZ format:
```
6
Lattice="0.000 3.986 3.986 3.986 0.000 3.986 3.986 3.986 0.000" Properties=species:S:1:pos:R:3 pbc="T T T"
Sr 0.000 0.000 0.000
Te 1.993 1.993 1.993
Au 4.983 2.989 2.989
Au 2.989 4.983 2.989
Au 2.989 2.989 4.983
Au 4.983 4.983 4.983
```

Output
raw formation energy = -478 meV per atom
energy = -3.988 eV/atom


A geometry-optimized SrTi2Au2 structure. Source: Alexandria via LeMat-Bulk, functional PBEsol.

The structure in extended XYZ format:
```
5
Lattice="-1.962 1.962 6.869 1.962 -1.962 6.869 1.962 1.962 -6.869" Properties=species:S:1:pos:R:3 pbc="T T T"
Sr 0.000 0.000 0.000
Ti 1.962 0.000 3.434
Ti 0.000 1.962 3.434
Au 0.000 0.000 5.379
Au 0.000 0.000 8.359
```

Output
energy = -5.497 eV/atom
DFT formation energy = -0.2305 eV per atom


A geometry-optimized Sr3TiAu structure. Source: Alexandria via LeMat-Bulk, functional PBEsol.

The structure in extended XYZ format:
```
5
Lattice="5.898 0.000 0.000 0.000 5.898 0.000 0.000 0.000 5.898" Properties=species:S:1:pos:R:3 pbc="T T T"
Sr 0.000 0.000 2.949
Sr 0.000 2.949 0.000
Sr 2.949 0.000 0.000
Ti 0.000 0.000 0.000
Au 2.949 2.949 2.949
```

Output
energy = -2.720 eV/atom
DFT formation energy = 0.8338 eV per atom


A geometry-optimized SrTlAu4 structure. Source: Alexandria via LeMat-Bulk, functional PBEsol.

The structure in extended XYZ format:
```
6
Lattice="0.000 3.975 3.975 3.975 0.000 3.975 3.975 3.975 0.000" Properties=species:S:1:pos:R:3 pbc="T T T"
Sr 0.000 0.000 0.000
Tl 1.987 1.987 1.987
Au 4.967 2.982 2.982
Au 2.982 4.967 2.982
Au 2.982 2.982 4.967
Au 4.967 4.967 4.967
```

Output
energy = -3.742 eV/atom
DFT formation energy = -0.3812 eV per atom


A geometry-optimized SrW2Au structure. Source: Alexandria via LeMat-Bulk, functional PBEsol.

The structure in extended XYZ format:
```
4
Lattice="2.813 -5.288 0.000 2.813 5.288 0.000 -1.013 0.000 2.538" Properties=species:S:1:pos:R:3 pbc="T T T"
Sr 0.000 0.000 0.000
W 0.900 2.644 1.269
W 0.900 -2.644 1.269
Au 2.813 0.000 0.000
```

Output
energy above the lowest structure with this stoichiometry = 218 meV per atom
energy = -7.422 eV/atom
DFT formation energy = 0.9230 eV per atom


A geometry-optimized SrW2Au structure. Source: Alexandria via LeMat-Bulk, functional PBEsol.

The structure in extended XYZ format:
```
4
Lattice="-1.383 2.509 5.613 1.383 -2.509 5.613 1.383 2.509 -5.613" Properties=species:S:1:pos:R:3 pbc="T T T"
Sr 0.000 0.000 0.000
W 1.383 0.000 3.135
W 0.000 2.509 2.477
Au 0.000 0.000 5.613
```

Output
energy above the lowest structure with this stoichiometry = 0 meV per atom
energy = -7.640 eV/atom
DFT formation energy = 0.7053 eV per atom